1.
AcGa4Pt2Au GGA-PBE relaxed; density of states at the Fermi level = 3.4 states/eV/cell; calculated volume = 157.9 Å³/cell; spin magnetization = 0.000 μB/atom; total DFT energy (no corrections) = -36.2 eV per cell; ρ = 11.5 Mg/m³
1.0
-3.4819 0.1659 -2.6052
-1.7800 -3.6810 -1.4900
-7.5287 -1.4949 6.3323
Pt Au Ga Ac
2 1 4 1
Cartesian
-9.5092 -3.7528 1.5662
-3.2814 -1.2572 0.6709
-6.3953 -2.5050 1.1185
-8.0637 -2.5984 3.3423
-5.3434 -1.3726 3.4194
-4.7270 -2.4116 -1.1053
-7.4472 -3.6374 -1.1823
0.0000 0.0000 0.0000



2.
Hf2AlSb GGA-PBE relaxed; density of states at the Fermi level = 4.3 states/eV/cell; calculated volume = 181.8 Å³/cell; spin magnetization = 0.000 μB/atom; total DFT energy (no corrections) = -54.4 eV per cell; ρ = 9.2 Mg/m³
1.0
4.1835 0.0000 0.0000
0.0000 4.1835 0.0000
2.0917 2.0917 10.3904
Sb Al Hf
2 2 4
Cartesian
0.0000 0.0000 0.0000
4.1835 2.0917 5.1952
2.0917 4.1835 5.1952
2.0917 2.0917 0.0000
5.2293 5.2237 7.7928
3.1376 3.1433 7.7928
1.0515 3.1376 2.5976
3.1319 1.0459 2.5976



3.
LiY2NbF GGA-PBE relaxed; density of states at the Fermi level = 4.8 states/eV/cell; calculated volume = 99.8 Å³/cell; spin magnetization = 0.497 μB/atom; total DFT energy (no corrections) = -30.7 eV per cell; ρ = 4.9 Mg/m³
1.0
5.1533 0.0000 0.0000
0.0000 3.7577 0.0000
0.0000 0.0000 5.1533
Y F Li Nb
2 1 1 1
Cartesian
0.0000 0.0000 2.5766
2.5766 0.0000 0.0000
0.0000 0.0000 0.0000
0.0000 1.8789 0.0000
2.5766 1.8789 2.5766



4.
Pu3MgGa12 GGA-PBE relaxed; density of states at the Fermi level = 29.1 states/eV/cell; calculated volume = 308.4 Å³/cell; spin magnetization = 1.012 μB/atom; total DFT energy (no corrections) = -85.7 eV per cell; ρ = 8.6 Mg/m³
1.0
4.2786 0.0000 0.0000
0.0000 4.2786 0.0000
0.0000 0.0000 16.8460
Ga Pu Mg
12 3 1
Cartesian
2.1393 0.0000 10.5684
2.1393 0.0000 6.2776
0.0000 2.1393 10.5684
2.1393 0.0000 14.8616
0.0000 2.1393 1.9844
2.1393 2.1393 8.4230
0.0000 2.1393 14.8616
2.1393 2.1393 12.5852
2.1393 2.1393 0.0000
2.1393 2.1393 4.2608
2.1393 0.0000 1.9844
0.0000 2.1393 6.2776
0.0000 0.0000 4.1016
0.0000 0.0000 12.7444
0.0000 0.0000 8.4230
0.0000 0.0000 0.0000



5.
ScTaNiRu2 GGA-PBE relaxed; density of states at the Fermi level = 6.7 states/eV/cell; calculated volume = 109.7 Å³/cell; spin magnetization = 0.271 μB/atom; total DFT energy (no corrections) = -35.5 eV per cell; ρ = 7.4 Mg/m³
1.0
-1.4647 -3.8993 2.0581
4.4328 -0.3693 2.4550
-1.7346 2.5035 3.5085
Ni Ru Sc Ta
1 2 1 1
Cartesian
0.6167 -0.8826 4.0109
-0.8673 1.2517 1.7543
-0.7324 -1.9497 1.0291
2.2164 -0.1846 1.2275
0.0000 0.0000 0.0000



6.
Pm2AgSeO6 GGA-PBE relaxed; density of states at the Fermi level = 3.0 states/eV/cell; calculated volume = 150.7 Å³/cell; spin magnetization = 0.104 μB/atom; total DFT energy (no corrections) = -62.8 eV per cell; ρ = 6.3 Mg/m³
1.0
5.6441 0.0000 0.0000
0.0000 5.1680 0.0000
0.0000 0.0000 5.1680
O Se Ag Pm
6 1 1 2
Cartesian
4.2310 1.2166 3.9515
4.2310 1.2166 1.2166
4.2310 3.9515 3.9515
0.9456 0.0000 0.0000
4.2310 3.9515 1.2166
0.6519 2.5840 2.5840
3.5941 0.0000 0.0000
2.7886 2.5840 2.5840
0.0969 2.5840 0.0000
0.0969 0.0000 2.5840